No. 1
Compound: Ca2AcTl3
Source: Alexandria
Functional: PBE
Structure: relaxed

Cell and atoms, written as POSCAR:
```
Ca2AcTl3
1.0
3.914 0.000 0.000
0.000 3.914 0.000
0.000 0.000 12.253
Ca Ac Tl
2 1 3
Direct
0.000 0.000 0.156 Ca
0.000 0.000 0.844 Ca
0.000 0.000 0.500 Ac
0.500 0.500 0.000 Tl
0.500 0.500 0.315 Tl
0.500 0.500 0.685 Tl
```

- Energy of formation: -0.42 eV per atom
- Distance to the lowest polymorph of the same formula: 0.102 kcal/mol of atoms
- V: 187.7 Å³ per cell
- Electronic total energy: -2.9508 eV/atom

=====

No. 2
Compound: CaAc5Tl4
Source: Alexandria
Functional: PBE
Structure: relaxed

Cell and atoms, written as POSCAR:
```
CaAc5Tl4
1.0
4.135 0.000 0.000
0.000 4.135 0.000
0.000 0.000 21.603
Ca Ac Tl
1 5 4
Direct
0.000 0.000 0.000 Ca
0.500 0.500 0.119 Ac
0.500 0.500 0.308 Ac
0.500 0.500 0.500 Ac
0.500 0.500 0.692 Ac
0.500 0.500 0.881 Ac
0.000 0.000 0.210 Tl
0.000 0.000 0.404 Tl
0.000 0.000 0.596 Tl
0.000 0.000 0.790 Tl
```

- Energy of formation: -0.26 eV per atom
- V: 369.4 Å³ per cell
- Electronic total energy: -3.4601 eV/atom

=====

No. 3
Compound: CaAc4Tl4
Source: Alexandria
Functional: PBE
Structure: relaxed

Cell and atoms, written as POSCAR:
```
CaAc4Tl4
1.0
9.939 0.000 0.000
0.000 9.939 0.000
0.000 0.000 7.003
Ca Ac Tl
2 8 8
Direct
0.250 0.250 0.250 Ca
0.750 0.750 0.750 Ca
0.039 0.663 0.133 Ac
0.163 0.961 0.633 Ac
0.337 0.539 0.633 Ac
0.461 0.837 0.133 Ac
0.539 0.163 0.867 Ac
0.663 0.461 0.367 Ac
0.837 0.039 0.367 Ac
0.961 0.337 0.867 Ac
0.019 0.642 0.610 Tl
0.142 0.981 0.110 Tl
0.358 0.519 0.110 Tl
0.481 0.858 0.610 Tl
0.519 0.142 0.390 Tl
0.642 0.481 0.890 Tl
0.858 0.019 0.890 Tl
0.981 0.358 0.390 Tl
```

- Energy of formation: -0.21 eV per atom
- V: 691.8 Å³ per cell
- Electronic total energy: -3.3064 eV/atom